No. 1
Computed, not measured: a relaxed Sr2POs crystal at the PBE level of DFT.

Output
The calculation puts the theoretical density at 6.169 Mg/m³. The density of states at the Fermi level is 2.14 states/eV/f.u. Its calculated formation energy is -334 meV per atom. The total energy is -21.3 eV for the cell shown.

Cell lengths 4.117, 5.908, 5.908 Å; angles 47.96, 90.00, 90.00 degrees
Fractional positions:
Sr1 0.000 0.000 0.000
Sr2 0.500 0.290 0.290
P1 0.500 0.596 0.596
Os1 0.000 0.689 0.689

No. 2
Computed, not measured: a relaxed SrPOs2 crystal at the PBE level of DFT.

Output
The calculation puts the theoretical density at 11.505 Mg/m³. The density of states at the Fermi level is 4.72 states/eV/f.u. Its calculated formation energy is 861 meV per atom. The total energy is -26.1 eV for the cell shown.

Cell lengths 2.807, 4.800, 5.346 Å; angles 90.00, 90.00, 90.00 degrees
Fractional positions:
Sr1 0.000 0.000 0.000
P1 0.500 0.500 0.000
Os1 0.000 0.500 0.500
Os2 0.500 0.000 0.500

No. 3
Computed, not measured: a relaxed SrPOs2 crystal at the PBE level of DFT.

Output
The calculation puts the theoretical density at 11.144 Mg/m³. The density of states at the Fermi level is 3.77 states/eV/f.u. Its calculated formation energy is 281 meV per atom. The total energy is -28.4 eV for the cell shown.

Cell lengths 2.927, 3.679, 6.905 Å; angles 90.00, 90.00, 90.00 degrees
Fractional positions:
Sr1 0.000 0.000 0.000
P1 0.500 0.500 0.691
Os1 0.000 0.000 0.517
Os2 0.500 0.500 0.344

No. 4
Computed, not measured: a relaxed SrPOs2 crystal at the PBE level of DFT.

Output
The calculation puts the theoretical density at 11.957 Mg/m³. The density of states at the Fermi level is 4.27 states/eV/f.u. Its calculated formation energy is 440 meV per atom. The total energy is -27.8 eV for the cell shown.

Cell lengths 2.973, 2.973, 7.842 Å; angles 90.00, 90.00, 90.00 degrees
Fractional positions:
Sr1 0.000 0.000 0.000
P1 0.000 0.000 0.500
Os1 0.500 0.500 0.328
Os2 0.500 0.500 0.672

No. 5
Computed, not measured: a relaxed Sr2POs crystal at the PBE level of DFT.

Output
The calculation puts the theoretical density at 6.777 Mg/m³. The density of states at the Fermi level is 3.50 states/eV/f.u. Its calculated formation energy is 285 meV per atom. The total energy is -18.9 eV for the cell shown.

Cell lengths 3.225, 4.104, 7.339 Å; angles 90.00, 90.00, 90.00 degrees
Fractional positions:
Sr1 0.000 0.000 0.242
Sr2 0.000 0.000 0.758
P1 0.500 0.500 0.000
Os1 0.500 0.500 0.500

No. 6
Computed, not measured: a relaxed Sr2POs crystal at the PBE level of DFT.

Output
The calculation puts the theoretical density at 6.416 Mg/m³. The density of states at the Fermi level is 3.84 states/eV/f.u. Its calculated formation energy is 530 meV per atom. The total energy is -17.9 eV for the cell shown.

Cell lengths 9.197, 9.197, 9.197 Å; angles 22.81, 22.81, 22.81 degrees
Fractional positions:
Sr1 0.249 0.249 0.249
Sr2 0.751 0.751 0.751
P1 0.500 0.500 0.500
Os1 0.000 0.000 0.000

No. 7
Computed, not measured: a relaxed SrP2Os crystal at the PBE level of DFT.

Output
The calculation puts the theoretical density at 7.840 Mg/m³. The density of states at the Fermi level is 4.03 states/eV/f.u. The calculation puts the polymorph energy (0 for the lowest one) at 1060 meV per atom. Its calculated formation energy is 469 meV per atom. The total energy is -21.9 eV for the cell shown.

Cell lengths 4.648, 4.648, 3.378 Å; angles 90.00, 90.00, 99.46 degrees
Fractional positions:
Sr1 0.000 0.000 0.000
P1 0.000 0.500 0.500
P2 0.500 0.000 0.500
Os1 0.500 0.500 0.000

No. 8
Computed, not measured: a relaxed SrPOs3 crystal at the PBE level of DFT.

Output
The calculation puts the theoretical density at 10.202 Mg/m³. The density of states at the Fermi level is 7.92 states/eV/f.u. The calculation puts the polymorph energy (0 for the lowest one) at 3302 meV per atom. Its calculated formation energy is 3908 meV per atom. The total energy is -21.2 eV for the cell shown.

Cell lengths 4.823, 4.823, 4.823 Å; angles 90.00, 90.00, 90.00 degrees
Fractional positions:
Sr1 0.000 0.000 0.000
P1 0.500 0.500 0.500
Os1 0.000 0.000 0.500
Os2 0.000 0.500 0.000
Os3 0.500 0.000 0.000